No. 1
Entry from the Alexandria database: MgCd3P after structural relaxation (PBEsol).

The structure belongs to space group Pm-3m (No. 221); the cell edges are 5.132, 5.132 and 5.132 Å and the angles 90.00°, 90.00° and 90.00°. Symmetry generates all atoms from Mg at (0.000, 0.000, 0.000), Cd at (0.000, 0.000, 0.500) and P at (0.500, 0.500, 0.500).

The formation energy from the elements comes out at 89 kJ/mol of atoms.

***

No. 2
Entry from the Alexandria database: SrAlIr4 after structural relaxation (PBEsol).

The structure belongs to space group F-43m (No. 216); the cell edges are 7.438, 7.438 and 7.438 Å and the angles 90.00°, 90.00° and 90.00°. Symmetry generates all atoms from Sr at (0.000, 0.000, 0.000), Al at (0.250, 0.250, 0.250) and Ir at (0.125, 0.125, 0.625).

The formation energy from the elements comes out at -1 kJ/mol of atoms.

***

No. 3
Entry from the Alexandria database: ScAlZn2 after structural relaxation (PBEsol).

The structure belongs to space group R3m (No. 160, hexagonal axes); the cell edges are 2.9589, 2.9589 and 27.0860 Å and the angles 90.00°, 90.00° and 120.00°. Symmetry generates all atoms from Sc at (0.0000, 0.0000, 0.0000), Al at (0.0000, 0.0000, 0.2434), Zn at (0.0000, 0.0000, 0.4966) and Zn at (0.0000, 0.0000, 0.7536).

The formation energy from the elements comes out at -1 kJ/mol of atoms.

***

No. 4
Entry from the Alexandria database: U2Al3C4 after structural relaxation (PBEsol).

The structure belongs to space group P6_3mc (No. 186); the cell edges are 3.3755, 3.3755 and 23.0727 Å and the angles 90.00°, 90.00° and 120.00°. Symmetry generates all atoms from U at (0.3333, 0.6667, 0.0000), U at (0.3333, 0.6667, 0.3755), Al at (0.0000, 0.0000, 0.1004), Al at (0.0000, 0.0000, 0.2752), Al at (0.3333, 0.6667, 0.6881), C at (0.0000, 0.0000, 0.1878), C at (0.0000, 0.0000, 0.4378), C at (0.3333, 0.6667, 0.5704) and C at (0.3333, 0.6667, 0.8048).

The formation energy from the elements comes out at -17 kJ/mol of atoms.

***

No. 5
Entry from the Alexandria database: LaRhSe2 after structural relaxation (PBEsol).

The structure belongs to space group Immm (No. 71); the cell edges are 3.983, 5.588 and 7.536 Å and the angles 90.00°, 90.00° and 90.00°. Symmetry generates all atoms from La at (0.000, 0.000, 0.000), Rh at (0.000, 0.000, 0.500) and Se at (0.000, 0.500, 0.194).

The relative energy among the computed polymorphs comes out at 0.0000 eV per atom. The formation energy without anion corrections comes out at -109.91 kJ/mol of atoms.

***

No. 6
Entry from the Alexandria database: UInPt after structural relaxation (PBEsol).

The structure belongs to space group P-62m (No. 189); the cell edges are 7.2407, 7.2407 and 4.1170 Å and the angles 90.00°, 90.00° and 120.00°. Symmetry generates all atoms from U at (0.0000, 0.5819, 0.0000), In at (0.0000, 0.2493, 0.5000), Pt at (0.0000, 0.0000, 0.0000) and Pt at (0.3333, 0.6667, 0.5000).

The formation energy from the elements comes out at -35 kJ/mol of atoms.

***

No. 7
Entry from the Alexandria database: SrPb2Au after structural relaxation (PBEsol).

The structure belongs to space group Immm (No. 71); the cell edges are 3.807, 5.366 and 10.963 Å and the angles 90.00°, 90.00° and 90.00°. Symmetry generates all atoms from Sr at (0.000, 0.000, 0.000), Pb at (0.000, 0.500, 0.210) and Au at (0.000, 0.000, 0.500).

The formation energy from the elements comes out at -33 kJ/mol of atoms.

***

No. 8
Entry from the Alexandria database: Y3AlNi after structural relaxation (PBEsol).

The structure belongs to space group Pnma (No. 62); the cell edges are 11.215, 3.755 and 11.136 Å and the angles 90.00°, 90.00° and 90.00°. Symmetry generates all atoms from Y at (0.037, 0.250, 0.119), Y at (0.078, 0.750, 0.381), Y at (0.187, 0.750, 0.697), Al at (0.231, 0.750, 0.990) and Ni at (0.144, 0.250, 0.882).

The formation energy from the elements comes out at -30 kJ/mol of atoms.

***

Number 5 is which compound?
LaRhSe2